(1)
DFT (PBE with a Hubbard U) results for a geometry-optimized VSO3 structure.

Lattice parameters (Å, degrees): 5.3018 5.7499 6.2803 86.73 81.97 76.06
Closest atoms and distances in Å follow each position.
Fractional coordinates of all 10 atoms:
V: 0.0000 0.0000 0.0000  3 O 1.72-1.80
V: 0.4523 0.0977 0.1002  2 O 1.71-1.91
S: 0.1395 0.4571 0.4661  1 O 1.57
S: 0.3133 0.6798 0.6113  1 O 1.58
O: 0.0629 0.8709 0.7076  1 S 1.58
O: 0.0898 0.2605 0.0590  1 V 1.75
O: 0.3213 0.8290 0.0455  2 V 1.80-1.91
O: 0.3863 0.2576 0.3811  1 S 1.57
O: 0.6598 0.1827 0.8923  1 V 1.71
O: 0.7887 0.9069 0.2013  1 V 1.72

Computed properties:
Its total DFT energy (no corrections) is -65.34 eV/cell. The magnetic moment is 1.0 μB/f.u. The value obtained for the density of states at the Fermi level is 0.017 states/eV/atom. As for the space-group type: P1.



(2)
DFT (PBE with a Hubbard U) results for a geometry-optimized VSO structure.

Lattice parameters (Å, degrees): 3.1386 3.1386 5.9868 90.00 90.00 120.00
Closest atoms and distances in Å follow each position.
Fractional coordinates of all 3 atoms:
V: 0.0000 0.0000 0.0000  3 O 1.97
S: 0.6667 0.3333 0.7287  3 V 2.43
O: 0.3333 0.6667 0.1305  3 V 1.97

Computed properties:
Its total DFT energy (no corrections) is -19.80 eV/cell. The magnetic moment is 1.0 μB/f.u. The value obtained for the density of states at the Fermi level is 0.292 states/eV/atom. As for the space-group type: P3m1.



(3)
DFT (PBE with a Hubbard U) results for a geometry-optimized VS2O structure.

Lattice parameters (Å, degrees): 6.1214 6.1214 6.1214 36.25 36.25 36.25
Closest atoms and distances in Å follow each position.
Fractional coordinates of all 4 atoms:
V: 0.0000 0.0000 0.0000  6 S 2.49
S: 0.4018 0.4018 0.4018  1 O 1.68
S: 0.5982 0.5982 0.5982  1 O 1.68
O: 0.5000 0.5000 0.5000  2 S 1.68

Computed properties:
Its total DFT energy (no corrections) is -21.17 eV/cell. The magnetic moment is 2.7 μB/f.u. The value obtained for the density of states at the Fermi level is 0.568 states/eV/atom. As for the space-group type: R-3m.



(4)
DFT (PBE with a Hubbard U) results for a geometry-optimized VSO4 structure.

Lattice parameters (Å, degrees): 5.6281 7.9136 7.9835 90.00 126.43 90.00
Closest atoms and distances in Å follow each position.
Fractional coordinates of all 24 atoms:
V: 0.1634 0.0674 0.3796  6 O 2.15-2.35
V: 0.1634 0.4326 0.8796  6 O 2.15-2.35
V: 0.8366 0.5674 0.1204  6 O 2.15-2.35
V: 0.8366 0.9326 0.6204  6 O 2.15-2.35
S: 0.3475 0.6846 0.6211  4 O 1.47-1.52
S: 0.3475 0.8154 0.1211  4 O 1.47-1.52
S: 0.6525 0.1846 0.8789  4 O 1.47-1.52
S: 0.6525 0.3154 0.3789  4 O 1.47-1.52
O: 0.1580 0.6596 0.0676  1 S 1.52
O: 0.1580 0.8404 0.5676  1 S 1.52
O: 0.1980 0.5656 0.4463  1 S 1.47
O: 0.1980 0.9344 0.9463  1 S 1.47
O: 0.3583 0.2331 0.8163  1 S 1.47
O: 0.3583 0.2669 0.3163  1 S 1.47
O: 0.3978 0.6013 0.8104  1 S 1.51
O: 0.3978 0.8987 0.3104  1 S 1.51
O: 0.6022 0.1013 0.6896  1 S 1.51
O: 0.6022 0.3987 0.1896  1 S 1.51
O: 0.6417 0.7331 0.6837  1 S 1.47
O: 0.6417 0.7669 0.1837  1 S 1.47
O: 0.8020 0.0656 0.0537  1 S 1.47
O: 0.8020 0.4344 0.5537  1 S 1.47
O: 0.8420 0.1596 0.4324  1 S 1.52
O: 0.8420 0.3404 0.9324  1 S 1.52

Computed properties:
Its total DFT energy (no corrections) is -161.90 eV/cell. The magnetic moment is 3.0 μB/f.u. The value obtained for the density of states at the Fermi level is 0.000 states/eV/atom. As for the space-group type: P2_1/c.



(5)
DFT (PBE with a Hubbard U) results for a geometry-optimized VS2O8 structure.

Lattice parameters (Å, degrees): 9.0182 13.2550 9.2069 90.00 90.00 90.00
Closest atoms and distances in Å follow each position.
Fractional coordinates of all 88 atoms:
V: 0.1138 0.1275 0.1407  6 O 1.94-2.01
V: 0.1138 0.3725 0.6407  6 O 1.94-2.01
V: 0.3862 0.6275 0.1407  6 O 1.94-2.01
V: 0.3862 0.8725 0.6407  6 O 1.94-2.01
V: 0.6138 0.1275 0.3593  6 O 1.94-2.01
V: 0.6138 0.3725 0.8593  6 O 1.94-2.01
V: 0.8862 0.6275 0.3593  6 O 1.94-2.01
V: 0.8862 0.8725 0.8593  6 O 1.94-2.01
S: 0.0576 0.7157 0.0744  4 O 1.42-1.53
S: 0.0576 0.7843 0.5744  4 O 1.42-1.53
S: 0.1832 0.0141 0.8418  4 O 1.42-1.52
S: 0.1832 0.4859 0.3418  4 O 1.42-1.52
S: 0.3168 0.5141 0.8418  4 O 1.42-1.52
S: 0.3168 0.9859 0.3418  4 O 1.42-1.52
S: 0.4424 0.2157 0.0744  4 O 1.42-1.53
S: 0.4424 0.2843 0.5744  4 O 1.42-1.53
S: 0.5576 0.7157 0.4256  4 O 1.42-1.53
S: 0.5576 0.7843 0.9256  4 O 1.42-1.53
S: 0.6832 0.0141 0.6582  4 O 1.42-1.52
S: 0.6832 0.4859 0.1582  4 O 1.42-1.52
S: 0.8168 0.5141 0.6582  4 O 1.42-1.52
S: 0.8168 0.9859 0.1582  4 O 1.42-1.52
S: 0.9424 0.2157 0.4256  4 O 1.42-1.53
S: 0.9424 0.2843 0.9256  4 O 1.42-1.53
O: 0.0014 0.2150 0.2709  1 S 1.52
O: 0.0014 0.2850 0.7709  1 S 1.52
O: 0.0094 0.6329 0.9876  1 S 1.42
O: 0.0094 0.8671 0.4876  1 S 1.42
O: 0.0167 0.6813 0.5186  1 S 1.51
O: 0.0167 0.8187 0.0186  1 S 1.51
O: 0.0235 0.5177 0.3188  1 S 1.52
O: 0.0235 0.9823 0.8188  1 S 1.52
O: 0.2036 0.0290 0.0031  1 S 1.51
O: 0.2036 0.4710 0.5031  1 S 1.51
O: 0.2205 0.1002 0.7570  1 S 1.42
O: 0.2205 0.3998 0.2570  1 S 1.42
O: 0.2268 0.7195 0.0905  1 S 1.53
O: 0.2268 0.7805 0.5905  1 S 1.53
O: 0.2283 0.0804 0.3068  1 S 1.52
O: 0.2283 0.4196 0.8068  1 S 1.52
O: 0.2717 0.5804 0.3068  1 S 1.52
O: 0.2717 0.9196 0.8068  1 S 1.52
O: 0.2732 0.2195 0.0905  1 S 1.53
O: 0.2732 0.2805 0.5905  1 S 1.53
O: 0.2795 0.6002 0.7570  1 S 1.42
O: 0.2795 0.8998 0.2570  1 S 1.42
O: 0.2964 0.5290 0.0031  1 S 1.51
O: 0.2964 0.9710 0.5031  1 S 1.51
O: 0.4765 0.0177 0.3188  1 S 1.52
O: 0.4765 0.4823 0.8188  1 S 1.52
O: 0.4833 0.1813 0.5186  1 S 1.51
O: 0.4833 0.3187 0.0186  1 S 1.51
O: 0.4906 0.1329 0.9876  1 S 1.42
O: 0.4906 0.3671 0.4876  1 S 1.42
O: 0.4986 0.7150 0.2709  1 S 1.52
O: 0.4986 0.7850 0.7709  1 S 1.52
O: 0.5014 0.2150 0.2291  1 S 1.52
O: 0.5014 0.2850 0.7291  1 S 1.52
O: 0.5094 0.6329 0.5124  1 S 1.42
O: 0.5094 0.8671 0.0124  1 S 1.42
O: 0.5167 0.6813 0.9814  1 S 1.51
O: 0.5167 0.8187 0.4814  1 S 1.51
O: 0.5235 0.5177 0.1812  1 S 1.52
O: 0.5235 0.9823 0.6812  1 S 1.52
O: 0.7036 0.0290 0.4969  1 S 1.51
O: 0.7036 0.4710 0.9969  1 S 1.51
O: 0.7205 0.1002 0.7430  1 S 1.42
O: 0.7205 0.3998 0.2430  1 S 1.42
O: 0.7268 0.7195 0.4095  1 S 1.53
O: 0.7268 0.7805 0.9095  1 S 1.53
O: 0.7283 0.0804 0.1932  1 S 1.52
O: 0.7283 0.4196 0.6932  1 S 1.52
O: 0.7717 0.5804 0.1932  1 S 1.52
O: 0.7717 0.9196 0.6932  1 S 1.52
O: 0.7732 0.2195 0.4095  1 S 1.53
O: 0.7732 0.2805 0.9095  1 S 1.53
O: 0.7795 0.6002 0.7430  1 S 1.42
O: 0.7795 0.8998 0.2430  1 S 1.42
O: 0.7964 0.5290 0.4969  1 S 1.51
O: 0.7964 0.9710 0.9969  1 S 1.51
O: 0.9765 0.0177 0.1812  1 S 1.52
O: 0.9765 0.4823 0.6812  1 S 1.52
O: 0.9833 0.1813 0.9814  1 S 1.51
O: 0.9833 0.3187 0.4814  1 S 1.51
O: 0.9906 0.1329 0.5124  1 S 1.42
O: 0.9906 0.3671 0.0124  1 S 1.42
O: 0.9986 0.7150 0.2291  1 S 1.52
O: 0.9986 0.7850 0.7291  1 S 1.52

Computed properties:
The energy above the most stable polymorph in this dataset is 0.0 meV per atom. The magnetic moment is 1.0 μB/f.u. As for the space-group type: Pbca.



(6)
DFT (PBE with a Hubbard U) results for a geometry-optimized VS2O structure.

Lattice parameters (Å, degrees): 7.5645 7.5645 7.5645 24.47 24.47 24.47
Closest atoms and distances in Å follow each position.
Fractional coordinates of all 4 atoms:
V: 0.0000 0.0000 0.0000  2 S 2.23
S: 0.1012 0.1012 0.1012  1 V 2.23, 3 O 2.35
S: 0.8988 0.8988 0.8988  1 V 2.23, 3 O 2.35
O: 0.5000 0.5000 0.5000  6 S 2.35

Computed properties:
Its total DFT energy (no corrections) is -16.30 eV/cell. The magnetic moment is 2.4 μB/f.u. The value obtained for the density of states at the Fermi level is 0.969 states/eV/atom. As for the space-group type: R-3m.